Density functional theory data (PBE) for La4Sm3HoTe8 after structural relaxation.

a = 8.998 Å, b = 8.998 Å, c = 8.998 Å
α = 60.04°, β = 60.04°, γ = 60.04°
Fractional positions:
La (0.000, 0.000, 0.000)
La (0.000, 0.500, 0.500)
La (0.500, 0.000, 0.500)
La (0.500, 0.500, 0.000)
Sm (0.000, 0.000, 0.500)
Sm (0.000, 0.500, 0.000)
Sm (0.500, 0.000, 0.000)
Ho (0.500, 0.500, 0.500)
Te (0.247, 0.247, 0.247)
Te (0.250, 0.744, 0.744)
Te (0.256, 0.256, 0.750)
Te (0.256, 0.750, 0.256)
Te (0.744, 0.250, 0.744)
Te (0.744, 0.744, 0.250)
Te (0.750, 0.256, 0.256)
Te (0.753, 0.753, 0.753)

The space-group type is No. 166. The uncorrected formation energy comes out at -1.472 eV/atom. The total magnetization is 0.00 μB per cell. For the volume, the calculation gives 515.5 Å³/cell. For the total energy, the calculation gives -5.446 eV/atom.

=====

Density functional theory data (PBE) for CePm4Dy4 after structural relaxation.

a = 8.018 Å, b = 8.018 Å, c = 8.018 Å
α = 95.78°, β = 95.78°, γ = 142.99°
Fractional positions:
Ce (0.000, 0.000, 0.000)
Pm (0.000, 0.330, 0.330)
Pm (0.000, 0.670, 0.670)
Pm (0.330, 0.000, 0.330)
Pm (0.670, 0.000, 0.670)
Dy (0.335, 0.335, 0.671)
Dy (0.335, 0.665, 0.000)
Dy (0.665, 0.335, 0.000)
Dy (0.665, 0.665, 0.329)

The calculation puts the formation energy at 42 meV per atom. The space-group type is No. 139. The total magnetization is 1.30 μB per cell. For the volume, the calculation gives 294.2 Å³/cell. For the total energy, the calculation gives -4.775 eV/atom.

=====

Density functional theory data (PBE) for Mn2NiPt after structural relaxation.

a = 5.656 Å, b = 6.890 Å, c = 2.848 Å
α = 90.00°, β = 90.00°, γ = 90.00°
Fractional positions:
Mn (0.250, 0.250, 0.000)
Mn (0.250, 0.750, 0.000)
Mn (0.750, 0.250, 0.000)
Mn (0.750, 0.750, 0.000)
Ni (0.000, 0.000, 0.500)
Ni (0.500, 0.500, 0.500)
Pt (0.000, 0.500, 0.500)
Pt (0.500, 0.000, 0.500)

The calculation puts the formation energy at -170 meV per atom. The space-group type is No. 65. The total magnetization is 16.98 μB per cell. For the volume, the calculation gives 111.0 Å³/cell. For the total energy, the calculation gives -7.711 eV/atom.

=====

Density functional theory data (PBE) for Sr2ZnGa4Rh3 after structural relaxation.

a = 4.333 Å, b = 4.333 Å, c = 10.525 Å
α = 90.00°, β = 90.00°, γ = 90.00°
Fractional positions:
Sr (0.000, 0.500, 0.249)
Sr (0.500, 0.000, 0.751)
Zn (0.000, 0.000, 0.500)
Ga (0.000, 0.000, 0.000)
Ga (0.000, 0.500, 0.632)
Ga (0.500, 0.000, 0.368)
Ga (0.500, 0.500, 0.000)
Rh (0.000, 0.500, 0.874)
Rh (0.500, 0.000, 0.126)
Rh (0.500, 0.500, 0.500)

The calculation puts the formation energy at -562 meV per atom. The space-group type is No. 115. The total magnetization is 0.00 μB per cell. For the volume, the calculation gives 197.6 Å³/cell. For the total energy, the calculation gives -4.442 eV/atom.

=====

Density functional theory data (PBE) for CdAs2PBr after structural relaxation.

a = 4.874 Å, b = 4.874 Å, c = 5.096 Å
α = 90.00°, β = 90.00°, γ = 90.00°
Fractional positions:
Cd (0.000, 0.000, 0.000)
As (0.000, 0.500, 0.500)
As (0.500, 0.000, 0.500)
P (0.500, 0.500, 0.500)
Br (0.500, 0.500, 0.000)

The space-group type is No. 123. The uncorrected formation energy comes out at 0.531 eV/atom. The total magnetization is 0.30 μB per cell. For the volume, the calculation gives 121.1 Å³/cell. For the total energy, the calculation gives -2.928 eV/atom.

=====

Density functional theory data (PBE) for TmCuBiPd after structural relaxation.

a = 6.857 Å, b = 6.857 Å, c = 6.857 Å
α = 90.00°, β = 90.00°, γ = 90.00°
Fractional positions:
Tm (0.000, 0.000, 0.000)
Tm (0.000, 0.500, 0.500)
Tm (0.500, 0.000, 0.500)
Tm (0.500, 0.500, 0.000)
Cu (0.250, 0.250, 0.250)
Cu (0.250, 0.750, 0.750)
Cu (0.750, 0.250, 0.750)
Cu (0.750, 0.750, 0.250)
Bi (0.000, 0.000, 0.500)
Bi (0.000, 0.500, 0.000)
Bi (0.500, 0.000, 0.000)
Bi (0.500, 0.500, 0.500)
Pd (0.250, 0.250, 0.750)
Pd (0.250, 0.750, 0.250)
Pd (0.750, 0.250, 0.250)
Pd (0.750, 0.750, 0.750)

The calculation puts the formation energy at -452 meV per atom. The space-group type is No. 216. The total magnetization is 0.00 μB per cell. For the volume, the calculation gives 322.5 Å³/cell. For the total energy, the calculation gives -4.862 eV/atom.

=====

Density functional theory data (PBE) for Ba3BiN after structural relaxation.

a = 5.608 Å, b = 5.608 Å, c = 5.608 Å
α = 90.00°, β = 90.00°, γ = 90.00°
Fractional positions:
Ba (0.000, 0.000, 0.500)
Ba (0.000, 0.500, 0.000)
Ba (0.500, 0.000, 0.000)
Bi (0.500, 0.500, 0.500)
N (0.000, 0.000, 0.000)

The space-group type is No. 221. The uncorrected formation energy comes out at -0.723 eV/atom. The total magnetization is 0.00 μB per cell. For the volume, the calculation gives 176.4 Å³/cell. For the total energy, the calculation gives -4.318 eV/atom.

=====

Density functional theory data (PBE) for BRuRh after structural relaxation.

a = 2.875 Å, b = 10.232 Å, c = 4.811 Å
α = 90.00°, β = 90.00°, γ = 90.00°
Fractional positions:
B (0.000, 0.077, 0.000)
B (0.000, 0.923, 0.500)
B (0.500, 0.423, 0.500)
B (0.500, 0.577, 0.000)
Ru (0.000, 0.434, 0.827)
Ru (0.000, 0.566, 0.327)
Ru (0.500, 0.066, 0.327)
Ru (0.500, 0.934, 0.827)
Rh (0.000, 0.294, 0.318)
Rh (0.000, 0.706, 0.818)
Rh (0.500, 0.206, 0.818)
Rh (0.500, 0.794, 0.318)

The calculation puts the formation energy at -147 meV per atom. The space-group type is No. 36. The total magnetization is 0.00 μB per cell. For the volume, the calculation gives 141.5 Å³/cell. For the total energy, the calculation gives -7.915 eV/atom.

=====

Density functional theory data (PBE) for TlCrGe2 after structural relaxation.

a = 4.588 Å, b = 4.588 Å, c = 17.093 Å
α = 90.00°, β = 90.00°, γ = 90.00°
Fractional positions:
Tl (0.000, 0.000, 0.000)
Tl (0.000, 0.500, 0.250)
Tl (0.500, 0.000, 0.750)
Tl (0.500, 0.500, 0.500)
Cr (0.000, 0.000, 0.500)
Cr (0.000, 0.500, 0.750)
Cr (0.500, 0.000, 0.250)
Cr (0.500, 0.500, 0.000)
Ge (0.151, 0.250, 0.625)
Ge (0.250, 0.651, 0.875)
Ge (0.250, 0.849, 0.375)
Ge (0.349, 0.250, 0.125)
Ge (0.651, 0.750, 0.125)
Ge (0.750, 0.151, 0.375)
Ge (0.750, 0.349, 0.875)
Ge (0.849, 0.750, 0.625)

The calculation puts the formation energy at 460 meV per atom. The space-group type is No. 122. The total magnetization is 12.27 μB per cell. For the volume, the calculation gives 359.9 Å³/cell. For the total energy, the calculation gives -4.846 eV/atom.

=====

Density functional theory data (PBE) for YMg5Ir2 after structural relaxation.

a = 4.201 Å, b = 8.296 Å, c = 9.552 Å
α = 90.00°, β = 90.00°, γ = 90.00°
Fractional positions:
Y (0.000, 0.000, 0.000)
Y (0.500, 0.500, 0.500)
Mg (0.000, 0.181, 0.329)
Mg (0.000, 0.181, 0.671)
Mg (0.000, 0.500, 0.000)
Mg (0.000, 0.819, 0.329)
Mg (0.000, 0.819, 0.671)
Mg (0.500, 0.000, 0.500)
Mg (0.500, 0.319, 0.171)
Mg (0.500, 0.319, 0.829)
Mg (0.500, 0.681, 0.171)
Mg (0.500, 0.681, 0.829)
Ir (0.000, 0.500, 0.276)
Ir (0.000, 0.500, 0.724)
Ir (0.500, 0.000, 0.224)
Ir (0.500, 0.000, 0.776)

The calculation puts the formation energy at -364 meV per atom. The space-group type is No. 71. The total magnetization is 0.00 μB per cell. For the volume, the calculation gives 332.9 Å³/cell. For the total energy, the calculation gives -4.383 eV/atom.

=====

Density functional theory data (PBE) for HfAl2Ge after structural relaxation.

a = 3.887 Å, b = 3.887 Å, c = 9.127 Å
α = 90.00°, β = 90.00°, γ = 90.00°
Fractional positions:
Hf (0.000, 0.000, 0.000)
Hf (0.500, 0.500, 0.500)
Al (0.000, 0.500, 0.250)
Al (0.000, 0.500, 0.750)
Al (0.500, 0.000, 0.250)
Al (0.500, 0.000, 0.750)
Ge (0.000, 0.000, 0.500)
Ge (0.500, 0.500, 0.000)

The calculation puts the formation energy at -368 meV per atom. The space-group type is No. 139. The total magnetization is 0.00 μB per cell. For the volume, the calculation gives 137.9 Å³/cell. For the total energy, the calculation gives -5.882 eV/atom.

=====

Density functional theory data (PBE) for Sc4Zn3Ni after structural relaxation.

a = 3.300 Å, b = 3.300 Å, c = 13.288 Å
α = 90.00°, β = 90.00°, γ = 90.00°
Fractional positions:
Sc (0.000, 0.000, 0.114)
Sc (0.000, 0.000, 0.371)
Sc (0.000, 0.000, 0.629)
Sc (0.000, 0.000, 0.886)
Zn (0.500, 0.500, 0.244)
Zn (0.500, 0.500, 0.500)
Zn (0.500, 0.500, 0.756)
Ni (0.500, 0.500, 0.000)

The calculation puts the formation energy at -401 meV per atom. The space-group type is No. 123. The total magnetization is 0.00 μB per cell. For the volume, the calculation gives 144.8 Å³/cell. For the total energy, the calculation gives -4.767 eV/atom.

=====

Q: Which value of volume does entry 6 give?
A: 322.5 Å³/cell

=====

Copy entry 3 word for word.
Density functional theory data (PBE) for Mn2NiPt after structural relaxation.

a = 5.656 Å, b = 6.890 Å, c = 2.848 Å
α = 90.00°, β = 90.00°, γ = 90.00°
Fractional positions:
Mn (0.250, 0.250, 0.000)
Mn (0.250, 0.750, 0.000)
Mn (0.750, 0.250, 0.000)
Mn (0.750, 0.750, 0.000)
Ni (0.000, 0.000, 0.500)
Ni (0.500, 0.500, 0.500)
Pt (0.000, 0.500, 0.500)
Pt (0.500, 0.000, 0.500)

The calculation puts the formation energy at -170 meV per atom. The space-group type is No. 65. The total magnetization is 16.98 μB per cell. For the volume, the calculation gives 111.0 Å³/cell. For the total energy, the calculation gives -7.711 eV/atom.